(1)
Compound: CePm3Ni3
Source: Alexandria
Functional: PBE
Structure: relaxed

## Properties
Electronic total energy: -5.587 eV/atom
Fermi-level density of states: 16.50 states/eV per cell
M_tot: 0.03 μB/atom

Cell: 7.0006 7.0006 6.7619 Å, 82.75 82.75 81.94°
Last column: nearest neighbours and their distance in Å.
Element x y z (fractional)
Pm  0.7044  0.2956  0.0000  4 Ni 2.81-3.03
Pm  0.1912  0.8088  0.5000  4 Ni 2.85-3.06
Pm  0.8088  0.1912  0.5000  4 Ni 2.85-3.06
Pm  0.2956  0.7044  0.0000  4 Ni 2.81-3.03
Pm  0.3042  0.3042  0.5094  5 Ni 2.79-3.03
Pm  0.6958  0.6958  0.4906  5 Ni 2.79-3.03
Ni  0.4811  0.9879  0.7435  4 Pm 2.79-3.06, 2 Ce 2.85-3.00, 1 Ni 2.94
Ni  0.0551  0.0551  0.8066  1 Ce 2.48, 1 Ni 2.68
Ni  0.0121  0.5189  0.2565  4 Pm 2.79-3.06, 2 Ce 2.85-3.00, 1 Ni 2.94
Ni  0.5189  0.0121  0.2565  4 Pm 2.79-3.06, 2 Ce 2.85-3.00, 1 Ni 2.94
Ni  0.9879  0.4811  0.7435  4 Pm 2.79-3.06, 2 Ce 2.85-3.00, 1 Ni 2.94
Ni  0.9449  0.9449  0.1934  1 Ce 2.48, 1 Ni 2.68
Ce  0.7858  0.7858  0.9612  1 Ni 2.48
Ce  0.2142  0.2142  0.0388  1 Ni 2.48


(2)
Compound: CePm2Ni6
Source: Alexandria
Functional: PBE
Structure: relaxed

## Properties
Electronic total energy: -5.884 eV/atom
Fermi-level density of states: 15.65 states/eV per cell
M_tot: 0.10 μB/atom

Cell: 3.7631 7.0602 7.0602 Å, 120.00 90.00 90.00°
Last column: nearest neighbours and their distance in Å.
Element x y z (fractional)
Ni  0.5000  0.6686  0.6686  3 Ni 2.34-2.38
Ni  0.5000  0.3314  0.0000  3 Ni 2.34-2.38
Ni  0.5000  0.0000  0.6686  3 Ni 2.34-2.38
Ni  0.5000  0.3314  0.3314  3 Ni 2.34-2.38
Ni  0.5000  0.6686  0.0000  3 Ni 2.34-2.38
Ni  0.5000  0.0000  0.3314  3 Ni 2.34-2.38
Ce  0.0000  0.0000  0.0000  12 Ni 3.00
Pm  0.0000  0.3333  0.6667  12 Ni 3.02
Pm  0.0000  0.6667  0.3333  12 Ni 3.02


(3)
Compound: CePmNi2
Source: Alexandria
Functional: PBE
Structure: relaxed

## Properties
Relative energy among the computed polymorphs: 7.5 kJ/mol of atoms
Fermi-level density of states: 5.61 states/eV per cell
M_tot: 0.00 μB/atom

Cell: 3.4544 3.4544 6.8350 Å, 90.00 90.00 90.00°
Last column: nearest neighbours and their distance in Å.
Element x y z (fractional)
Pm  0.5000  0.5000  0.0000  8 Ni 3.13, 2 Ce 3.42, 4 Pm 3.45
Ni  0.0000  0.0000  0.7138  4 Ce 2.85, 1 Ni 2.92, 4 Pm 3.13
Ni  0.0000  0.0000  0.2862  4 Ce 2.85, 1 Ni 2.92, 4 Pm 3.13
Ce  0.5000  0.5000  0.5000  8 Ni 2.85


(4)
Compound: CePm4Ni4
Source: Alexandria
Functional: PBE
Structure: relaxed

## Properties
Electronic total energy: -5.563 eV/atom
Fermi-level density of states: 20.20 states/eV per cell
M_tot: 0.00 μB/atom

Cell: 6.0173 8.3508 8.3508 Å, 90.00 90.00 90.00°
Last column: nearest neighbours and their distance in Å.
Element x y z (fractional)
Pm  0.3938  0.6998  0.0765  4 Ni 2.74-3.05
Pm  0.8938  0.4235  0.1998  4 Ni 2.74-3.05
Pm  0.1062  0.1998  0.5765  4 Ni 2.74-3.05
Pm  0.1062  0.8002  0.4235  4 Ni 2.74-3.05
Pm  0.6062  0.9235  0.6998  4 Ni 2.74-3.05
Pm  0.6062  0.0765  0.3002  4 Ni 2.74-3.05
Pm  0.3938  0.3002  0.9235  4 Ni 2.74-3.05
Pm  0.8938  0.5765  0.8002  4 Ni 2.74-3.05
Ce  0.5000  0.5000  0.5000  4 Ni 2.51
Ce  0.0000  0.0000  0.0000  4 Ni 2.51
Ni  0.3719  0.3749  0.2423  1 Ce 2.51, 1 Ni 2.55, 1 Pm 2.74
Ni  0.6281  0.2423  0.6251  1 Ce 2.51, 1 Ni 2.55, 1 Pm 2.74
Ni  0.1281  0.8749  0.7423  1 Ce 2.51, 1 Ni 2.55, 1 Pm 2.74
Ni  0.8719  0.2577  0.8749  1 Ce 2.51, 1 Ni 2.55, 1 Pm 2.74
Ni  0.1281  0.1251  0.2577  1 Ce 2.51, 1 Ni 2.55, 1 Pm 2.74
Ni  0.8719  0.7423  0.1251  1 Ce 2.51, 1 Ni 2.55, 1 Pm 2.74
Ni  0.3719  0.6251  0.7577  1 Ce 2.51, 1 Ni 2.55, 1 Pm 2.74
Ni  0.6281  0.7577  0.3749  1 Ce 2.51, 1 Ni 2.55, 1 Pm 2.74


(5)
Compound: CePm2Ni
Source: Alexandria
Functional: PBE
Structure: relaxed

## Properties
Relative energy among the computed polymorphs: 8.6 kJ/mol of atoms
Fermi-level density of states: 7.20 states/eV per cell
M_tot: 0.33 μB/atom

Cell: 3.5078 3.5078 8.6526 Å, 90.00 90.00 90.00°
Last column: nearest neighbours and their distance in Å.
Element x y z (fractional)
Pm  0.0000  0.0000  0.8076  4 Ni 2.99, 1 Pm 3.33
Pm  0.0000  0.0000  0.1924  4 Ni 2.99, 1 Pm 3.33
Ni  0.5000  0.5000  0.0000  8 Pm 2.99
Ce  0.5000  0.5000  0.5000  4 Ce 3.51, 8 Pm 3.64


(6)
Compound: CePmNi6
Source: Alexandria
Functional: PBE
Structure: relaxed

## Properties
Electronic total energy: -5.715 eV/atom
Fermi-level density of states: 5.83 states/eV per cell
M_tot: 0.00 μB/atom

Cell: 4.9719 4.9719 4.9719 Å, 90.00 90.00 90.00°
Last column: nearest neighbours and their distance in Å.
Element x y z (fractional)
Ni  0.5000  0.2457  0.0000  2 Ni 2.44-2.53
Ni  0.2457  0.0000  0.5000  2 Ni 2.44-2.53
Ni  0.0000  0.5000  0.7543  2 Ni 2.44-2.53
Ni  0.7543  0.0000  0.5000  2 Ni 2.44-2.53
Ni  0.5000  0.7543  0.0000  2 Ni 2.44-2.53
Ni  0.0000  0.5000  0.2457  2 Ni 2.44-2.53
Pm  0.5000  0.5000  0.5000  12 Ni 2.79
Ce  0.0000  0.0000  0.0000  12 Ni 2.77


(7)
Compound: CePm2Ni
Source: Alexandria
Functional: PBE
Structure: relaxed

## Properties
Relative energy among the computed polymorphs: 28.4 kJ/mol of atoms
Fermi-level density of states: 8.13 states/eV per cell
M_tot: 0.36 μB/atom

Cell: 3.5896 3.5896 10.6836 Å, 80.33 80.33 60.00°
Last column: nearest neighbours and their distance in Å.
Element x y z (fractional)
Ce  0.0000  0.0000  0.0000  2 Pm 3.43, 6 Ce 3.59
Pm  0.1090  0.1090  0.6731  3 Ni 2.75
Pm  0.8910  0.8910  0.3269  3 Ni 2.75
Ni  0.5000  0.5000  0.5000  6 Pm 2.75


(8)
Compound: CePmNiS4
Source: Alexandria
Functional: PBE
Structure: relaxed

## Properties
Formation energy (no corrections): -1.549 eV per atom
Fermi-level density of states: 5.94 states/eV per cell
M_tot: 0.03 μB/atom

Cell: 6.5803 5.6558 7.9011 Å, 90.00 106.69 90.00°
Last column: nearest neighbours and their distance in Å.
Element x y z (fractional)
Ni  0.7593  0.2500  0.6801  4 S 2.18-2.27
Ni  0.2407  0.7500  0.3199  4 S 2.18-2.27
Pm  0.7304  0.7500  0.9310  8 S 2.81-3.00
Pm  0.2696  0.2500  0.0690  8 S 2.81-3.00
Ce  0.2554  0.2500  0.5620  8 S 2.76-3.01
Ce  0.7446  0.7500  0.4380  8 S 2.76-3.01
S  0.4285  0.7500  0.1202  1 Ni 2.27
S  0.4208  0.7500  0.6007  1 Ni 2.19
S  0.9864  0.4904  0.2440  1 Ni 2.18
S  0.5792  0.2500  0.3993  1 Ni 2.19
S  0.0136  0.5096  0.7560  1 Ni 2.18
S  0.5715  0.2500  0.8798  1 Ni 2.27
S  0.0136  0.9904  0.7560  1 Ni 2.18
S  0.9864  0.0096  0.2440  1 Ni 2.18


(9)
Compound: CePmNiSb
Source: Alexandria
Functional: PBE
Structure: relaxed

## Properties
Formation energy (no corrections): -0.417 eV per atom
Fermi-level density of states: 9.63 states/eV per cell
M_tot: 0.46 μB/atom

Cell: 5.2233 5.2233 5.2233 Å, 60.00 60.00 60.00°
Last column: nearest neighbours and their distance in Å.
Element x y z (fractional)
Pm  0.0000  0.0000  0.0000  4 Ni 3.20, 4 Sb 3.20
Ni  0.2500  0.2500  0.2500  4 Ce 3.20, 4 Pm 3.20
Ce  0.5000  0.5000  0.5000  4 Sb 3.20, 4 Ni 3.20
Sb  0.7500  0.7500  0.7500  4 Ce 3.20, 4 Pm 3.20


(10)
Compound: CePm2Ni4Sb3
Source: Alexandria
Functional: PBE
Structure: relaxed

## Properties
Formation energy (no corrections): -0.631 eV per atom
Fermi-level density of states: 7.56 states/eV per cell
M_tot: 0.06 μB/atom

Cell: 4.4495 4.4495 10.5170 Å, 90.00 90.00 90.00°
Last column: nearest neighbours and their distance in Å.
Element x y z (fractional)
Ni  0.0000  0.0000  0.0000  4 Sb 2.59
Ni  0.5000  0.5000  0.0000  4 Sb 2.59
Ni  0.0000  0.5000  0.3611  3 Sb 2.48-2.66, 2 Ce 2.66
Ni  0.5000  0.0000  0.6389  3 Sb 2.48-2.66, 2 Ce 2.66
Pm  0.5000  0.0000  0.2103  4 Ni 3.14, 4 Sb 3.27
Pm  0.0000  0.5000  0.7897  4 Ni 3.14, 4 Sb 3.27
Sb  0.0000  0.0000  0.5000  4 Ni 2.66
Sb  0.0000  0.5000  0.1257  5 Ni 2.48-2.59
Sb  0.5000  0.0000  0.8743  5 Ni 2.48-2.59
Ce  0.5000  0.5000  0.5000  4 Ni 2.66


Number 1: theoretical density 7.712 g/cm³, V 324 Å³/cell. Number 2: theoretical density 7.997 g/cm³, V 162 Å³/cell. Number 3: theoretical density 8.195 g/cm³, V 82 Å³/cell. Number 4: theoretical density 7.557 g/cm³, V 420 Å³/cell. Number 5: theoretical density 7.624 g/cm³, V 106 Å³/cell. Number 6: theoretical density 8.610 g/cm³, V 123 Å³/cell. Number 7: theoretical density 6.940 g/cm³, V 117 Å³/cell. Number 8: theoretical density 5.566 g/cm³, V 282 Å³/cell. Number 9: theoretical density 7.672 g/cm³, V 101 Å³/cell. Number 10: theoretical density 8.216 g/cm³, V 208 Å³/cell.